(1)
A relaxed Tb2YEr8 crystal, computed with PBE-GGA.

a = 5.456 Å, b = 8.078 Å, c = 9.259 Å
α = 115.86°, β = 107.14°, γ = 90.00°
Sites, in units of the cell vectors:
Tb  0.202  0.701  0.403
Tb  0.798  0.299  0.597
Y  0.500  0.000  0.000
Er  0.639  0.846  0.278
Er  0.361  0.568  0.723
Er  0.161  0.161  0.321
Er  0.000  0.294  0.000
Er  0.839  0.839  0.679
Er  0.639  0.432  0.277
Er  0.361  0.154  0.722
Er  0.000  0.706  0.000

Computed properties:
Fermi-level density of states   16.57 states/eV per cell
Formation enthalpy at 0 K   119 meV per atom
Distance to the lowest polymorph of the same formula   0 meV/atom
Spin magnetization   0.0 μB/f.u.


(2)
A relaxed TbY4Er crystal, computed with PBE-GGA.

a = 6.193 Å, b = 6.193 Å, c = 12.054 Å
α = 104.88°, β = 104.88°, γ = 59.99°
Sites, in units of the cell vectors:
Tb  0.500  0.000  0.500
Tb  0.000  0.500  0.000
Y  0.250  0.416  0.750
Y  0.166  0.668  0.500
Y  0.834  0.332  0.500
Y  0.416  0.250  0.250
Y  0.584  0.750  0.750
Y  0.332  0.834  0.000
Y  0.668  0.166  0.000
Y  0.750  0.584  0.250
Er  0.084  0.916  0.250
Er  0.916  0.084  0.750

Computed properties:
Fermi-level density of states   17.38 states/eV per cell
Formation enthalpy at 0 K   6 meV per atom
Distance to the lowest polymorph of the same formula   0 meV/atom
Spin magnetization   0.0 μB/f.u.


(3)
A relaxed TbY3Er3 crystal, computed with PBE-GGA.

a = 8.221 Å, b = 6.292 Å, c = 6.292 Å
α = 102.44°, β = 115.82°, γ = 115.82°
Sites, in units of the cell vectors:
Tb  0.562  0.000  0.000
Y  0.014  0.599  0.599
Y  0.414  0.000  0.401
Y  0.414  0.401  0.000
Er  0.625  0.652  0.652
Er  0.973  0.000  0.348
Er  0.973  0.348  0.000

Computed properties:
Fermi-level density of states   11.49 states/eV per cell
Formation enthalpy at 0 K   257 meV per atom
Distance to the lowest polymorph of the same formula   116 meV/atom
Spin magnetization   0.0 μB/f.u.